Density functional theory data (PBE) for a relaxed KAgTeSe2 crystal.

```
5
Lattice="5.1442 0.0000 0.0000 0.0000 5.6830 0.0000 0.0000 0.0000 5.1442" Properties=species:S:1:pos:R:3 pbc="T T T"
K 0.0000 2.8415 0.0000
Se 0.0000 0.0000 2.5721
Se 2.5721 0.0000 0.0000
Te 2.5721 2.8415 2.5721
Ag 0.0000 0.0000 0.0000
```

VASP energy   -2.651 eV per atom
Total magnetic moment   0.00 μB/f.u.
SG   P4/mmm
Offset from the most stable computed form   405 meV/atom